ErTm2ScRh4: relaxed, PBE-GGA.

The value obtained for the formation energy from the elements is -0.970 eV/atom. As for the space-group type: No. 166.

Cell: 8.2032 8.2032 8.2032 Å, 33.52 33.52 33.52°
With the nearest neighbours (Å) after each atom.
Fractional positions:
Er1 0.0000 0.0000 0.0000  8 Rh 2.91-2.94
Tm1 0.2483 0.2483 0.2483  8 Rh 2.82-2.99
Tm2 0.7517 0.7517 0.7517  8 Rh 2.82-2.99
Sc1 0.5000 0.5000 0.5000  8 Rh 2.85-2.88
Rh1 0.1267 0.1267 0.1267  4 Tm 2.82-2.90, 3 Sc 2.88, 1 Er 2.94
Rh2 0.3772 0.3772 0.3772  1 Sc 2.85, 4 Tm 2.89-2.99, 3 Er 2.91
Rh3 0.6228 0.6228 0.6228  1 Sc 2.85, 4 Tm 2.89-2.99, 3 Er 2.91
Rh4 0.8733 0.8733 0.8733  4 Tm 2.82-2.90, 3 Sc 2.88, 1 Er 2.94

YErScRh: relaxed, PBE-GGA.

The value obtained for the formation energy from the elements is -0.209 eV/atom. As for the space-group type: No. 216.

Cell: 5.0633 5.0633 5.0633 Å, 60.00 60.00 60.00°
With the nearest neighbours (Å) after each atom.
Fractional positions:
Y1 0.0000 0.0000 0.0000  4 Sc 3.10, 4 Rh 3.10
Er1 0.5000 0.5000 0.5000  4 Rh 3.10, 4 Sc 3.10
Sc1 0.2500 0.2500 0.2500  4 Er 3.10, 4 Y 3.10
Rh1 0.7500 0.7500 0.7500  4 Er 3.10, 4 Y 3.10

ErScZnRh: relaxed, PBE-GGA.

The value obtained for the formation energy from the elements is -0.660 eV/atom. As for the space-group type: No. 99. For the relative energy among the computed polymorphs, the calculation gives 0 meV/atom.

Cell: 3.3754 3.3754 6.8170 Å, 90.00 90.00 90.00°
With the nearest neighbours (Å) after each atom.
Fractional positions:
Er1 0.0000 0.0000 0.0000  4 Rh 2.94, 4 Zn 3.10, 1 Sc 3.20
Sc1 0.0000 0.0000 0.5307  4 Rh 2.81, 4 Zn 2.90
Zn1 0.5000 0.5000 0.2897  4 Sc 2.90, 4 Er 3.10, 1 Rh 3.12
Rh1 0.5000 0.5000 0.7477  4 Sc 2.81, 4 Er 2.94, 1 Zn 3.12

ErSc2ZnRh4: relaxed, PBE-GGA.

The value obtained for the formation energy from the elements is -0.873 eV/atom. As for the space-group type: No. 166.

Cell: 7.9157 7.9157 7.9157 Å, 33.34 33.34 33.34°
With the nearest neighbours (Å) after each atom.
Fractional positions:
Er1 0.0000 0.0000 0.0000  8 Rh 2.81-2.82
Sc1 0.2423 0.2423 0.2423  7 Rh 2.61-2.81
Sc2 0.7577 0.7577 0.7577  7 Rh 2.61-2.81
Zn1 0.5000 0.5000 0.5000  8 Rh 2.72-2.78
Rh1 0.1257 0.1257 0.1257  4 Sc 2.61-2.73, 3 Zn 2.78, 1 Er 2.82
Rh2 0.3788 0.3788 0.3788  1 Zn 2.72, 3 Er 2.81, 3 Sc 2.81
Rh3 0.6212 0.6212 0.6212  1 Zn 2.72, 3 Er 2.81, 3 Sc 2.81
Rh4 0.8743 0.8743 0.8743  4 Sc 2.61-2.73, 3 Zn 2.78, 1 Er 2.82

ErScZnRh: relaxed, PBE-GGA.

The value obtained for the formation energy from the elements is -0.636 eV/atom. As for the space-group type: No. 216. For the relative energy among the computed polymorphs, the calculation gives 24 meV/atom.

Cell: 4.7723 4.7723 4.7723 Å, 60.00 60.00 60.00°
With the nearest neighbours (Å) after each atom.
Fractional positions:
Er1 0.0000 0.0000 0.0000  4 Rh 2.92, 4 Zn 2.92
Sc1 0.5000 0.5000 0.5000  4 Zn 2.92, 4 Rh 2.92
Zn1 0.7500 0.7500 0.7500  4 Er 2.92, 4 Sc 2.92
Rh1 0.2500 0.2500 0.2500  4 Sc 2.92, 4 Er 2.92

ErZrSc2Rh4: relaxed, PBE-GGA.

The value obtained for the formation energy from the elements is -0.935 eV/atom. As for the space-group type: No. 166.

Cell: 8.0793 8.0793 8.0793 Å, 33.50 33.50 33.50°
With the nearest neighbours (Å) after each atom.
Fractional positions:
Er1 0.0000 0.0000 0.0000  8 Rh 2.88-2.94
Zr1 0.5000 0.5000 0.5000  8 Rh 2.78-2.83
Sc1 0.2497 0.2497 0.2497  8 Rh 2.77-2.95
Sc2 0.7503 0.7503 0.7503  8 Rh 2.77-2.95
Rh1 0.1284 0.1284 0.1284  4 Sc 2.77-2.88, 3 Zr 2.83, 1 Er 2.94
Rh2 0.3786 0.3786 0.3786  1 Zr 2.78, 4 Sc 2.83-2.95, 3 Er 2.88
Rh3 0.6214 0.6214 0.6214  1 Zr 2.78, 4 Sc 2.83-2.95, 3 Er 2.88
Rh4 0.8716 0.8716 0.8716  4 Sc 2.77-2.88, 3 Zr 2.83, 1 Er 2.94

Er5RhSe4: relaxed, PBE-GGA.

The calculation puts the uncorrected formation energy at -15.2 eV per formula unit. As for the space-group type: No. 139.

Cell: 14.7845 14.7845 14.7845 Å, 164.38 164.38 22.16°
With the nearest neighbours (Å) after each atom.
Fractional positions:
Er1 0.0000 0.0000 0.0000  4 Rh 2.84, 2 Se 3.07
Er2 0.2066 0.2066 0.0000  6 Se 2.86-2.92
Er3 0.4080 0.4080 0.0000  1 Rh 2.67, 5 Se 2.87-2.97
Er4 0.5920 0.5920 0.0000  1 Rh 2.67, 5 Se 2.87-2.97
Er5 0.7934 0.7934 0.0000  6 Se 2.86-2.92
Rh1 0.5000 0.5000 0.0000  6 Er 2.67-2.84
Se1 0.1058 0.1058 0.0000  6 Er 2.87-3.07
Se2 0.3058 0.3058 0.0000  6 Er 2.86-2.97
Se3 0.6942 0.6942 0.0000  6 Er 2.86-2.97
Se4 0.8942 0.8942 0.0000  6 Er 2.87-3.07

ErRhSe: relaxed, PBE-GGA.

The calculation puts the uncorrected formation energy at -3.4 eV per formula unit. As for the space-group type: No. 156.

Cell: 4.2964 4.2964 3.6126 Å, 90.00 90.00 120.00°
With the nearest neighbours (Å) after each atom.
Fractional positions:
Er1 0.0000 0.0000 0.0000  6 Rh 3.06-3.07, 6 Se 3.07
Rh1 0.3333 0.6667 0.4983  3 Se 2.48
Se1 0.6667 0.3333 0.5013  3 Rh 2.48

ErRhSe: relaxed, PBE-GGA.

The calculation puts the uncorrected formation energy at -3.0 eV per formula unit. As for the space-group type: No. 12.

Cell: 7.6072 7.6072 4.2942 Å, 90.08 90.08 28.93°
With the nearest neighbours (Å) after each atom.
Fractional positions:
Er1 0.1144 0.1144 0.2504  4 Rh 2.84-2.86, 4 Se 2.87
Er2 0.8856 0.8856 0.7496  4 Rh 2.84-2.86, 4 Se 2.87
Rh1 0.2405 0.2405 0.7502  2 Se 2.79, 4 Er 2.84-2.86, 4 Rh 2.88
Rh2 0.7595 0.7595 0.2498  2 Se 2.79, 4 Er 2.84-2.86, 4 Rh 2.88
Se1 0.3982 0.3982 0.2496  2 Rh 2.79, 4 Er 2.87
Se2 0.6018 0.6018 0.7504  2 Rh 2.79, 4 Er 2.87

Er4RhSe2: relaxed, PBE-GGA.

The calculation puts the uncorrected formation energy at -8.6 eV per formula unit. As for the space-group type: No. 63.

Cell: 6.7890 6.7890 14.0324 Å, 90.00 90.00 147.49°
With the nearest neighbours (Å) after each atom.
Fractional positions:
Er1 0.0000 0.0000 0.0000  4 Se 2.81
Er2 0.0000 0.0000 0.5000  4 Se 2.81
Er3 0.2950 0.7050 0.6293  3 Se 2.85-2.90, 2 Rh 2.86
Er4 0.2950 0.7050 0.8707  3 Se 2.85-2.90, 2 Rh 2.86
Er5 0.4516 0.5484 0.2500  2 Rh 2.76, 2 Se 2.86
Er6 0.5484 0.4516 0.7500  2 Rh 2.76, 2 Se 2.86
Er7 0.7050 0.2950 0.1293  3 Se 2.85-2.90, 2 Rh 2.86
Er8 0.7050 0.2950 0.3707  3 Se 2.85-2.90, 2 Rh 2.86
Rh1 0.1052 0.8948 0.2500  6 Er 2.76-2.86
Rh2 0.8948 0.1052 0.7500  6 Er 2.76-2.86
Se1 0.3580 0.6420 0.0654  6 Er 2.81-2.90
Se2 0.3580 0.6420 0.4346  6 Er 2.81-2.90
Se3 0.6420 0.3580 0.5654  6 Er 2.81-2.90
Se4 0.6420 0.3580 0.9346  6 Er 2.81-2.90

Er4Te2RhSe: relaxed, PBE-GGA.

The calculation puts the uncorrected formation energy at -10.2 eV per formula unit. As for the space-group type: No. 10.

Cell: 7.3653 4.0916 7.4117 Å, 90.00 108.31 90.00°
With the nearest neighbours (Å) after each atom.
Fractional positions:
Er1 0.2181 0.0000 0.2053  2 Rh 2.75, 1 Se 2.93
Er2 0.2451 0.5000 0.7830  1 Rh 2.77, 2 Se 2.90, 2 Te 3.08
Er3 0.7549 0.5000 0.2170  1 Rh 2.77, 2 Se 2.90, 2 Te 3.08
Er4 0.7819 0.0000 0.7947  2 Rh 2.75, 1 Se 2.93
Te1 0.0000 0.0000 0.5000  6 Er 3.08-3.09
Te2 0.5000 0.5000 0.5000  6 Er 3.22-3.23
Rh1 0.0000 0.5000 0.0000  6 Er 2.75-2.77
Se1 0.5000 0.0000 0.0000  6 Er 2.90-2.93

Er2Si5Rh3: relaxed, PBE-GGA.

The calculation puts the uncorrected formation energy at -9.6 eV per formula unit. As for the space-group type: No. 72.

Cell: 8.1287 8.1287 8.1287 Å, 105.16 89.20 138.81°
With the nearest neighbours (Å) after each atom.
Fractional positions:
Er1 0.1320 0.2309 0.3629  10 Si 2.96-3.19, 3 Rh 3.07-3.10
Er2 0.3680 0.7309 0.0988  10 Si 2.96-3.19, 3 Rh 3.07-3.10
Er3 0.6320 0.2691 0.9012  10 Si 2.96-3.19, 3 Rh 3.07-3.10
Er4 0.8680 0.7691 0.6371  10 Si 2.96-3.19, 3 Rh 3.07-3.10
Si1 0.0289 0.7500 0.2789  3 Rh 2.41-2.56, 2 Si 2.51
Si2 0.1057 0.6583 0.7640  3 Rh 2.33-2.45, 2 Si 2.51
Si3 0.2500 0.2500 0.0000  4 Rh 2.42
Si4 0.3943 0.1583 0.5527  3 Rh 2.33-2.45, 2 Si 2.51
Si5 0.4711 0.7500 0.7211  3 Rh 2.41-2.56, 2 Si 2.51
Si6 0.5289 0.2500 0.2789  3 Rh 2.41-2.56, 2 Si 2.51
Si7 0.6057 0.8417 0.4473  3 Rh 2.33-2.45, 2 Si 2.51
Si8 0.7500 0.7500 0.0000  4 Rh 2.42
Si9 0.8943 0.3417 0.2360  3 Rh 2.33-2.45, 2 Si 2.51
Si10 0.9711 0.2500 0.7211  3 Rh 2.41-2.56, 2 Si 2.51
Rh1 0.1404 0.8905 0.0309  5 Si 2.33-2.42
Rh2 0.2500 0.7500 0.5000  6 Si 2.45-2.56
Rh3 0.3596 0.3905 0.7501  5 Si 2.33-2.42
Rh4 0.6404 0.6095 0.2499  5 Si 2.33-2.42
Rh5 0.7500 0.2500 0.5000  6 Si 2.45-2.56
Rh6 0.8596 0.1095 0.9691  5 Si 2.33-2.42

ErSi3Rh: relaxed, PBE-GGA.

The calculation puts the uncorrected formation energy at -3.7 eV per formula unit. As for the space-group type: No. 107.

Cell: 5.7118 5.7118 5.7118 Å, 137.44 137.44 61.77°
With the nearest neighbours (Å) after each atom.
Fractional positions:
Er1 0.0000 0.0000 0.0000  12 Si 3.04-3.34, 5 Rh 3.29-3.40
Si1 0.2328 0.7328 0.5000  2 Rh 2.36, 2 Si 2.54
Si2 0.5827 0.5827 0.0000  1 Rh 2.31, 4 Si 2.54
Si3 0.7328 0.2328 0.5000  2 Rh 2.36, 2 Si 2.54
Rh1 0.3468 0.3468 0.0000  5 Si 2.31-2.36

ErSi4Rh6: relaxed, PBE-GGA.

The calculation puts the uncorrected formation energy at -11.0 eV per formula unit. As for the space-group type: No. 187.

Cell: 7.0311 7.0311 3.7611 Å, 90.00 90.00 120.00°
With the nearest neighbours (Å) after each atom.
Fractional positions:
Er1 0.0000 0.0000 0.0000  6 Rh 3.05, 6 Si 3.07
Si1 0.3333 0.6667 0.0000  9 Rh 2.43-2.51
Si2 0.3985 0.1993 0.5000  6 Rh 2.41-2.49
Si3 0.8007 0.1993 0.5000  6 Rh 2.41-2.49
Si4 0.8007 0.6015 0.5000  6 Rh 2.41-2.49
Rh1 0.1972 0.3943 0.5000  4 Si 2.41-2.51
Rh2 0.1972 0.8028 0.5000  4 Si 2.41-2.51
Rh3 0.5331 0.0662 0.0000  5 Si 2.43-2.49
Rh4 0.5331 0.4669 0.0000  5 Si 2.43-2.49
Rh5 0.6057 0.8028 0.5000  4 Si 2.41-2.51
Rh6 0.9338 0.4669 0.0000  5 Si 2.43-2.49

Er2SiRh6: relaxed, PBE-GGA.

The calculation puts the uncorrected formation energy at -3.3 eV per formula unit. As for the space-group type: No. 12.

Cell: 7.8321 7.8321 3.0872 Å, 101.20 101.20 57.63°
With the nearest neighbours (Å) after each atom.
Fractional positions:
Er1 0.1507 0.1507 0.1430  8 Rh 2.80-2.85, 2 Er 3.09
Er2 0.8493 0.8493 0.8570  8 Rh 2.80-2.85, 2 Er 3.09
Si1 0.5000 0.5000 0.5000  4 Rh 2.35
Rh1 0.1411 0.5205 0.3336  1 Si 2.68, 5 Rh 2.76-2.86, 3 Er 2.80-2.83
Rh2 0.2659 0.7341 0.0000  2 Si 2.35
Rh3 0.4795 0.8589 0.6664  1 Si 2.68, 5 Rh 2.76-2.86, 3 Er 2.80-2.83
Rh4 0.5205 0.1411 0.3336  1 Si 2.68, 5 Rh 2.76-2.86, 3 Er 2.80-2.83
Rh5 0.7341 0.2659 0.0000  2 Si 2.35
Rh6 0.8589 0.4795 0.6664  1 Si 2.68, 5 Rh 2.76-2.86, 3 Er 2.80-2.83

Er3Si2Rh2: relaxed, PBE-GGA.

The calculation puts the uncorrected formation energy at -6.8 eV per formula unit. As for the space-group type: No. 57.

Cell: 5.5369 7.6840 13.0217 Å, 90.00 90.00 90.00°
With the nearest neighbours (Å) after each atom.
Fractional positions:
Er1 0.1304 0.2446 0.2500  5 Si 2.96-3.26, 4 Rh 2.99-3.04
Er2 0.1304 0.2554 0.7500  5 Si 2.96-3.26, 4 Rh 2.99-3.04
Er3 0.3606 0.6053 0.1023  4 Rh 2.87-3.03, 2 Si 2.92-2.95
Er4 0.3606 0.6053 0.3977  4 Rh 2.87-3.03, 2 Si 2.92-2.95
Er5 0.3606 0.8947 0.6023  4 Rh 2.87-3.03, 2 Si 2.92-2.95
Er6 0.3606 0.8947 0.8977  4 Rh 2.87-3.03, 2 Si 2.92-2.95
Er7 0.6394 0.1053 0.1023  4 Rh 2.87-3.03, 2 Si 2.92-2.95
Er8 0.6394 0.1053 0.3977  4 Rh 2.87-3.03, 2 Si 2.92-2.95
Er9 0.6394 0.3947 0.6023  4 Rh 2.87-3.03, 2 Si 2.92-2.95
Er10 0.6394 0.3947 0.8977  4 Rh 2.87-3.03, 2 Si 2.92-2.95
Er11 0.8696 0.7446 0.2500  5 Si 2.96-3.26, 4 Rh 2.99-3.04
Er12 0.8696 0.7554 0.7500  5 Si 2.96-3.26, 4 Rh 2.99-3.04
Si1 0.1341 0.2500 0.0000  4 Rh 2.50-2.52
Si2 0.1341 0.2500 0.5000  4 Rh 2.50-2.52
Si3 0.3640 0.6079 0.7500  2 Rh 2.49
Si4 0.3640 0.8921 0.2500  2 Rh 2.49
Si5 0.6360 0.1079 0.7500  2 Rh 2.49
Si6 0.6360 0.3921 0.2500  2 Rh 2.49
Si7 0.8659 0.7500 0.0000  4 Rh 2.50-2.52
Si8 0.8659 0.7500 0.5000  4 Rh 2.50-2.52
Rh1 0.1342 0.5359 0.5914  3 Si 2.49-2.52
Rh2 0.1342 0.5359 0.9086  3 Si 2.49-2.52
Rh3 0.1342 0.9641 0.0914  3 Si 2.49-2.52
Rh4 0.1342 0.9641 0.4086  3 Si 2.49-2.52
Rh5 0.8658 0.0359 0.5914  3 Si 2.49-2.52
Rh6 0.8658 0.0359 0.9086  3 Si 2.49-2.52
Rh7 0.8658 0.4641 0.0914  3 Si 2.49-2.52
Rh8 0.8658 0.4641 0.4086  3 Si 2.49-2.52

Er3Si3Rh: relaxed, PBE-GGA.

The calculation puts the uncorrected formation energy at -6.6 eV per formula unit. As for the space-group type: No. 12.

Cell: 5.6452 5.6452 13.4394 Å, 109.15 109.15 43.66°
With the nearest neighbours (Å) after each atom.
Fractional positions:
Er1 0.0217 0.0217 0.3752  6 Si 2.88-3.05, 4 Rh 3.00-3.11
Er2 0.1023 0.1023 0.9211  7 Si 2.92-3.11
Er3 0.2433 0.2433 0.2273  6 Si 2.89-3.13
Er4 0.7567 0.7567 0.7727  6 Si 2.89-3.13
Er5 0.8977 0.8977 0.0789  7 Si 2.92-3.11
Er6 0.9783 0.9783 0.6248  6 Si 2.88-3.05, 4 Rh 3.00-3.11
Si1 0.3713 0.3713 0.4559  3 Rh 2.43-2.47, 1 Si 2.53
Si2 0.3859 0.3859 0.9252  2 Si 2.52
Si3 0.4545 0.4545 0.7638  1 Si 2.52, 1 Rh 2.57
Si4 0.5455 0.5455 0.2362  1 Si 2.52, 1 Rh 2.57
Si5 0.6141 0.6141 0.0748  2 Si 2.52
Si6 0.6287 0.6287 0.5441  3 Rh 2.43-2.47, 1 Si 2.53
Rh1 0.2531 0.2531 0.5856  4 Si 2.43-2.57
Rh2 0.7469 0.7469 0.4144  4 Si 2.43-2.57

Er2SiRh: relaxed, PBE-GGA.

The calculation puts the uncorrected formation energy at -2.9 eV per formula unit. As for the space-group type: No. 123.

Cell: 4.6975 4.6975 3.6697 Å, 90.00 90.00 90.00°
With the nearest neighbours (Å) after each atom.
Fractional positions:
Er1 0.0000 0.5000 0.0000  4 Rh 2.98, 4 Si 2.98, 4 Er 3.32
Er2 0.5000 0.0000 0.0000  4 Rh 2.98, 4 Si 2.98, 4 Er 3.32
Si1 0.0000 0.0000 0.5000  8 Er 2.98, 4 Rh 3.32
Rh1 0.5000 0.5000 0.5000  8 Er 2.98, 4 Si 3.32

Er2Si7Rh12: relaxed, PBE-GGA.

The calculation puts the uncorrected formation energy at -20.3 eV per formula unit. As for the space-group type: No. 147.

Cell: 9.7253 9.7253 3.8423 Å, 90.00 90.00 120.00°
With the nearest neighbours (Å) after each atom.
Fractional positions:
Er1 0.3333 0.6667 0.2498  6 Si 3.07, 9 Rh 3.09-3.41
Er2 0.6667 0.3333 0.7502  6 Si 3.07, 9 Rh 3.09-3.41
Si1 0.0000 0.0000 0.0000  6 Rh 2.41
Si2 0.1114 0.4012 0.7492  7 Rh 2.38-2.52
Si3 0.2898 0.8886 0.7492  7 Rh 2.38-2.52
Si4 0.4012 0.2898 0.2508  7 Rh 2.38-2.52
Si5 0.5988 0.7102 0.7492  7 Rh 2.38-2.52
Si6 0.7102 0.1114 0.2508  7 Rh 2.38-2.52
Si7 0.8886 0.5988 0.2508  7 Rh 2.38-2.52
Rh1 0.0641 0.6194 0.7484  4 Si 2.38-2.52
Rh2 0.1190 0.8565 0.2452  4 Si 2.38-2.47
Rh3 0.1435 0.2625 0.2452  4 Si 2.38-2.47
Rh4 0.2625 0.1190 0.7548  4 Si 2.38-2.47
Rh5 0.3806 0.4447 0.7484  4 Si 2.38-2.52
Rh6 0.4447 0.0641 0.2516  4 Si 2.38-2.52
Rh7 0.5553 0.9359 0.7484  4 Si 2.38-2.52
Rh8 0.6194 0.5553 0.2516  4 Si 2.38-2.52
Rh9 0.7375 0.8810 0.2452  4 Si 2.38-2.47
Rh10 0.8565 0.7375 0.7548  4 Si 2.38-2.47
Rh11 0.8810 0.1435 0.7548  4 Si 2.38-2.47
Rh12 0.9359 0.3806 0.2516  4 Si 2.38-2.52

Er3Si4Rh7: relaxed, PBE-GGA.

The calculation puts the uncorrected formation energy at -14.6 eV per formula unit. As for the space-group type: No. 12.

Cell: 7.8255 7.8255 9.1456 Å, 123.51 123.51 29.56°
With the nearest neighbours (Å) after each atom.
Fractional positions:
Er1 0.0000 0.0000 0.0000  6 Si 2.84-3.08, 6 Rh 3.15-3.18
Er2 0.3312 0.3312 0.3359  9 Rh 2.90-3.04, 4 Si 2.95-3.00
Er3 0.6688 0.6688 0.6641  9 Rh 2.90-3.04, 4 Si 2.95-3.00
Si1 0.1125 0.1125 0.8357  6 Rh 2.44-2.56
Si2 0.3337 0.3337 0.7207  5 Rh 2.39-2.46
Si3 0.6663 0.6663 0.2793  5 Rh 2.39-2.46
Si4 0.8875 0.8875 0.1643  6 Rh 2.44-2.56
Rh1 0.0000 0.0000 0.5000  2 Si 2.52
Rh2 0.1643 0.1643 0.4219  3 Si 2.39-2.46
Rh3 0.3034 0.3034 0.9523  4 Si 2.41-2.56
Rh4 0.4955 0.4955 0.7299  3 Si 2.40-2.47
Rh5 0.5045 0.5045 0.2701  3 Si 2.40-2.47
Rh6 0.6966 0.6966 0.0477  4 Si 2.41-2.56
Rh7 0.8357 0.8357 0.5781  3 Si 2.39-2.46